# CrPbO3 PBE with a Hubbard U relaxed
data_CrPbO3
_chemical_formula_sum 'Cr1 Pb1 O3'
_cell_length_a 4.1782
_cell_length_b 4.1782
_cell_length_c 4.1782
_cell_angle_alpha 90.00
_cell_angle_beta 90.00
_cell_angle_gamma 90.00
_symmetry_space_group_name_H-M 'P m -3 m'
_symmetry_Int_Tables_number 221
_symmetry_space_group_name_Hall '-P 4 2 3'
loop_
_atom_site_label
_atom_site_fract_x
_atom_site_fract_y
_atom_site_fract_z
Cr1 0.0000 0.0000 0.0000
Pb1 0.5000 0.5000 0.5000
O1 0.0000 0.5000 0.5000
# M_tot	3.992	μB/cell
# volume	14.59	Å³/atom
# calculated total energy	-27.55	eV per cell